Here is an optimized crystal structure of YRuBr2 from the Alexandria database. Energies are from PBE-GGA.

## Properties
**E above lowest polymorph**: 153 meV per atom
**Crystal system**: monoclinic
**Formation energy (no corrections)**: -0.464 eV per atom
**Magnetic moment**: 1.01 μB per formula unit
**DOS at the Fermi energy**: 0.068 states/eV per atom
**Theoretical density**: 5.21 g cm⁻³
**Electronic total energy**: -0.38478 Ry/atom

a b c (Å): 5.8295 5.8295 5.6691
angles (deg): 93.06 93.06 35.44
Last column: nearest neighbours and their distance in Å.
Positions (direct):
Y: 0.0000 0.0000 0.0000  2 Ru 2.70, 3 Br 2.99-3.00
Ru: 0.6380 0.6380 0.2535  3 Br 2.49-2.69, 2 Y 2.70
Br: 0.2700 0.2700 0.0212  2 Ru 2.69, 1 Y 2.99
Br: 0.4928 0.4928 0.5731  1 Ru 2.49